No. 1
Computed, not measured: an optimized crystal structure of NaCd3Te3 at the GGA-PBE level of DFT.

For the energy, the calculation gives -32.5 eV/cell. For the total magnetization, the calculation gives 0.00 μB per formula unit. The space group is No. 148. The formation energy without anion corrections comes out at -392 meV per atom.

Lattice parameters (Å, degrees): 8.8222 8.8222 8.8222 58.42 58.42 58.42
Fractional positions:
Na 0.1661 0.1661 0.1661
Na 0.8339 0.8339 0.8339
Cd 0.0655 0.3813 0.7139
Cd 0.2861 0.9345 0.6187
Cd 0.3813 0.7139 0.0655
Cd 0.6187 0.2861 0.9345
Cd 0.7139 0.0655 0.3813
Cd 0.9345 0.6187 0.2861
Te 0.0736 0.7574 0.4231
Te 0.2426 0.5769 0.9264
Te 0.4231 0.0736 0.7574
Te 0.5769 0.9264 0.2426
Te 0.7574 0.4231 0.0736
Te 0.9264 0.2426 0.5769



No. 2
Computed, not measured: an optimized crystal structure of NaTiCd2Te at the GGA-PBE level of DFT.

For the energy, the calculation gives -10.0 eV/cell. For the total magnetization, the calculation gives 0.01 μB per formula unit. The space group is No. 123. The formation energy without anion corrections comes out at 844 meV per atom.

Lattice parameters (Å, degrees): 5.7248 5.7248 5.4788 90.00 90.00 90.00
Fractional positions:
Na 0.0000 0.0000 0.0000
Ti 0.5000 0.5000 0.0000
Cd 0.0000 0.5000 0.5000
Cd 0.5000 0.0000 0.5000
Te 0.0000 0.0000 0.5000



No. 3
Computed, not measured: an optimized crystal structure of Na2TlCdTe at the GGA-PBE level of DFT.

For the energy, the calculation gives -8.6 eV/cell. For the total magnetization, the calculation gives 0.00 μB per formula unit. The space group is No. 123. The formation energy without anion corrections comes out at 99 meV per atom.

Lattice parameters (Å, degrees): 6.0739 6.0739 5.8571 90.00 90.00 90.00
Fractional positions:
Na 0.0000 0.5000 0.0000
Na 0.5000 0.0000 0.0000
Tl 0.0000 0.0000 0.0000
Cd 0.5000 0.5000 0.5000
Te 0.0000 0.0000 0.5000



No. 4
Computed, not measured: an optimized crystal structure of Na3U2CdTe6 at the GGA-PBE level of DFT.

For the energy, the calculation gives -54.9 eV/cell. For the total magnetization, the calculation gives 5.00 μB per formula unit. The space group is No. 12. The formation energy without anion corrections comes out at -719 meV per atom.

Lattice parameters (Å, degrees): 7.6630 7.6630 7.9927 99.18 99.18 119.97
Fractional positions:
Na 0.0000 0.0000 0.0000
Na 0.3346 0.6654 0.0000
Na 0.6654 0.3346 0.0000
U 0.1670 0.8330 0.5000
U 0.8330 0.1670 0.5000
Cd 0.5000 0.5000 0.5000
Te 0.0889 0.4222 0.2670
Te 0.2439 0.2439 0.7324
Te 0.4222 0.0889 0.2670
Te 0.5778 0.9111 0.7330
Te 0.7561 0.7561 0.2676
Te 0.9111 0.5778 0.7330